# 1
Compound: La4ScIn5
Source: the Alexandria database
Functional: GGA-PBE
Structure: optimized geometry

```
La4ScIn5
1.0
3.7817 0.0000 0.0000
0.0000 3.7817 0.0000
0.0000 0.0000 20.3600
La Sc In
4 1 5
Cartesian
0.0000 0.0000 2.1359
0.0000 0.0000 6.3982
0.0000 0.0000 13.9618
0.0000 0.0000 18.2241
0.0000 0.0000 10.1800
1.8908 1.8908 0.0000
1.8908 1.8908 4.2760
1.8908 1.8908 8.5598
1.8908 1.8908 11.8002
1.8908 1.8908 16.0840
```

Computed properties:
* size of the total moment: 0.00 μB/f.u.
* energy of formation: -495 meV per atom
* crystal system: tetragonal



# 2
Compound: SrLiZnOs
Source: the Alexandria database
Functional: GGA-PBE
Structure: optimized geometry

```
SrLiZnOs
1.0
2.8046 0.0000 0.0000
0.0000 4.6949 0.0000
-0.3511 0.0000 5.8200
Sr Li Zn Os
1 1 1 1
Cartesian
0.0000 0.0000 0.0000
2.4730 2.3474 1.9923
1.0169 2.3474 4.1204
1.1960 0.0000 2.9363
```

Computed properties:
* size of the total moment: 0.00 μB/f.u.
* energy of formation: 380 meV per atom
* crystal system: monoclinic



energy of formation of number 1 (La4ScIn5)?
-495 meV per atom



Copy entry 2 word for word.
Compound: SrLiZnOs
Source: the Alexandria database
Functional: GGA-PBE
Structure: optimized geometry

```
SrLiZnOs
1.0
2.8046 0.0000 0.0000
0.0000 4.6949 0.0000
-0.3511 0.0000 5.8200
Sr Li Zn Os
1 1 1 1
Cartesian
0.0000 0.0000 0.0000
2.4730 2.3474 1.9923
1.0169 2.3474 4.1204
1.1960 0.0000 2.9363
```

Computed properties:
* size of the total moment: 0.00 μB/f.u.
* energy of formation: 380 meV per atom
* crystal system: monoclinic



The highest energy of formation belongs to which entry?
SrLiZnOs